{
  "formula": "Ca3Zn2Sn4",
  "functional": "PBE-GGA",
  "state": "optimized geometry",
  "dos_ef_per_ev_cell": 1.61,
  "e_tot_ev_per_atom": -3.21,
  "ef_kj_per_mol_atoms": -46,
  "sg": "C2/m (12)",
  "lattice": [[4.557, 0.000, 0.000], [-2.278, 6.002, 0.115], [0.000, -2.249, 8.561]],
  "species": ["Ca", "Ca", "Sn", "Ca", "Sn", "Zn", "Sn", "Sn", "Zn"],
  "frac_coords": [[0.000, 0.000, 0.000], [0.620, 0.241, 0.697], [0.298, 0.596, 0.925], [0.380, 0.759, 0.303], [0.923, 0.845, 0.615], [0.709, 0.418, 0.388], [0.077, 0.155, 0.385], [0.702, 0.404, 0.075], [0.291, 0.582, 0.612]]
}

{
  "formula": "YEr3Hg4",
  "functional": "PBE-GGA",
  "state": "optimized geometry",
  "dos_ef_per_ev_cell": 13.84,
  "e_tot_ev_per_atom": -3.16,
  "ef_kj_per_mol_atoms": -47,
  "sg": "P4/mmm (123)",
  "lattice": [[-0.317, 4.435, -2.714], [-2.535, -3.798, -5.912], [-9.777, 1.340, 3.332]],
  "species": ["Er", "Hg", "Hg", "Er", "Y", "Hg", "Er", "Er", "Er", "Hg", "Er", "Hg", "Hg", "Hg", "Y", "Hg"],
  "frac_coords": [[0.500, 0.000, 0.750], [0.000, 0.247, 0.750], [0.000, 0.753, 0.750], [0.500, 0.500, 0.250], [0.000, 0.500, 0.500], [0.000, 0.247, 0.250], [0.500, 0.500, 0.750], [0.500, 0.000, 0.250], [0.000, 0.000, 0.500], [0.500, 0.247, 0.000], [0.000, 0.000, 0.000], [0.500, 0.753, 0.000], [0.000, 0.753, 0.250], [0.500, 0.247, 0.500], [0.000, 0.500, 0.000], [0.500, 0.753, 0.500]]
}

{
  "formula": "CaTa3Sb",
  "functional": "PBE-GGA",
  "state": "optimized geometry",
  "dos_ef_per_ev_cell": 5.35,
  "e_tot_ev_per_atom": -5.95,
  "polymorph_energy_mev_per_atom": 913,
  "formation_energy_uncorrected_ev_per_atom": 2.3847,
  "sg": "Pm-3m (221)",
  "lattice": [[-0.807, -4.668, 0.876], [3.673, -0.050, 3.117], [-3.011, 1.190, 3.567]],
  "species": ["Ta", "Sb", "Ta", "Ca", "Ta"],
  "frac_coords": [[0.500, 0.000, 0.000], [0.500, 0.500, 0.500], [0.000, 0.000, 0.500], [0.000, 0.000, 0.000], [0.000, 0.500, 0.000]]
}

{
  "formula": "Tm3ZrCd",
  "functional": "PBE-GGA",
  "state": "optimized geometry",
  "dos_ef_per_ev_cell": 10.90,
  "e_tot_ev_per_atom": -4.59,
  "ef_kj_per_mol_atoms": -1,
  "sg": "C2/m (12)",
  "lattice": [[3.314, 0.000, -0.586], [-0.227, 7.707, -1.285], [0.217, -1.174, 10.887]],
  "species": ["Zr", "Tm", "Zr", "Tm", "Cd", "Tm", "Tm", "Tm", "Cd", "Tm"],
  "frac_coords": [[0.742, 0.833, 0.483], [0.376, 0.970, 0.752], [0.258, 0.167, 0.517], [0.822, 0.552, 0.644], [0.580, 0.601, 0.160], [0.984, 0.773, 0.968], [0.016, 0.227, 0.032], [0.624, 0.030, 0.248], [0.420, 0.399, 0.840], [0.178, 0.448, 0.356]]
}

{
  "formula": "Pm2SmPa",
  "functional": "PBE-GGA",
  "state": "optimized geometry",
  "dos_ef_per_ev_cell": 5.43,
  "e_tot_ev_per_atom": -5.61,
  "ef_kj_per_mol_atoms": 31,
  "polymorph_energy_mev_per_atom": 164,
  "sg": "R-3m (166)",
  "lattice": [[-3.193, 0.007, 1.118], [-1.330, -2.809, 1.338], [2.465, 2.579, 12.141]],
  "species": ["Sm", "Pa", "Pm", "Pm"],
  "frac_coords": [[0.500, 0.500, 0.500], [0.000, 0.000, 0.000], [0.086, 0.086, 0.742], [0.914, 0.914, 0.258]]
}

{
  "formula": "TaAl2ReNi",
  "functional": "PBE-GGA",
  "state": "optimized geometry",
  "dos_ef_per_ev_cell": 5.22,
  "e_tot_ev_per_atom": -6.38,
  "ef_kj_per_mol_atoms": 109,
  "sg": "P4/mmm (123)",
  "lattice": [[-0.733, -4.474, -0.740], [4.447, -0.741, 0.073], [-0.194, -0.718, 4.533]],
  "species": ["Ta", "Ni", "Al", "Re", "Al"],
  "frac_coords": [[0.500, 0.500, 0.500], [0.000, 0.500, 0.000], [0.500, 0.000, 0.000], [0.000, 0.000, 0.000], [0.000, 0.000, 0.500]]
}

{
  "formula": "Nb2SnN",
  "functional": "PBE-GGA",
  "state": "optimized geometry",
  "dos_ef_per_ev_cell": 3.40,
  "e_tot_ev_per_atom": -8.64,
  "formation_energy_uncorrected_ev_per_atom": -0.5222,
  "sg": "R-3m (166)",
  "lattice": [[3.270, 0.000, 0.000], [1.635, 2.832, 0.000], [1.635, 0.944, 6.970]],
  "species": ["Nb", "Nb", "Sn", "N"],
  "frac_coords": [[0.219, 0.219, 0.342], [0.781, 0.781, 0.658], [0.000, 0.000, 0.000], [0.500, 0.500, 0.500]]
}

Sequential spin magnetization output: 0.00, 0.00, 0.00, 0.00, 0.00, 0.83, 0.00 μB per formula unit